Density functional theory data (PBE-GGA) for a relaxed P2Ru2SeN crystal.

Properties
Relative energy among the computed polymorphs (eV/atom): 0.1577
Energy (eV per cell): -41.6
ΔE_f (raw) (eV per formula unit): -0.38

Geometry as CIF:
```
data_P2Ru2SeN
_chemical_formula_sum 'P2 Ru2 Se1 N1'
_cell_length_a 2.924
_cell_length_b 6.079
_cell_length_c 5.638
_cell_angle_alpha 90.00
_cell_angle_beta 90.00
_cell_angle_gamma 90.00
_space_group_name_H-M_alt 'P m m 2'
_space_group_IT_number 25
_space_group_name_Hall 'P 2 -2'
loop_
_atom_site_label
_atom_site_type_symbol
_atom_site_fract_x
_atom_site_fract_y
_atom_site_fract_z
P1 P 0.000 0.000 0.000
P2 P 0.500 0.000 0.492
Ru1 Ru 0.000 0.238 0.677
Se1 Se 0.500 0.500 0.443
N1 N 0.500 0.000 0.190
```

Density functional theory data (PBE-GGA) for a relaxed Pa2ZnReN5 crystal.

Properties
Energy (eV per cell): -327.2
ΔE_f (raw) (eV per formula unit): -7.46

Geometry as CIF:
```
data_Pa2ZnReN5
_chemical_formula_sum 'Pa8 Zn4 Re4 N20'
_cell_length_a 3.391
_cell_length_b 14.240
_cell_length_c 9.336
_cell_angle_alpha 90.00
_cell_angle_beta 90.00
_cell_angle_gamma 90.00
_space_group_name_H-M_alt 'C m c 21'
_space_group_IT_number 36
_space_group_name_Hall 'C 2c -2'
loop_
_atom_site_label
_atom_site_type_symbol
_atom_site_fract_x
_atom_site_fract_y
_atom_site_fract_z
Pa1 Pa 0.000 0.127 0.000
Pa2 Pa 0.000 0.131 0.502
Zn1 Zn 0.000 0.489 0.755
Re1 Re 0.000 0.241 0.245
N1 N 0.000 0.089 0.252
N2 N 0.000 0.276 0.885
N3 N 0.000 0.280 0.613
N4 N 0.000 0.375 0.189
N5 N 0.000 0.481 0.484
```

Density functional theory data (PBE-GGA) for a relaxed ErAlH crystal.

Properties
Relative energy among the computed polymorphs (eV/atom): 0.3667
Energy (eV per cell): -23.6

Geometry as CIF:
```
data_ErAlH
_chemical_formula_sum 'Er2 Al2 H2'
_cell_length_a 3.076
_cell_length_b 3.076
_cell_length_c 10.974
_cell_angle_alpha 90.00
_cell_angle_beta 90.00
_cell_angle_gamma 90.00
_space_group_name_H-M_alt 'I 4 m m'
_space_group_IT_number 107
_space_group_name_Hall 'I 4 -2'
loop_
_atom_site_label
_atom_site_type_symbol
_atom_site_fract_x
_atom_site_fract_y
_atom_site_fract_z
Er1 Er 0.000 0.000 0.000
Al1 Al 0.000 0.000 0.284
H1 H 0.000 0.000 0.543
```

> Among the records above, which one has the lowest energy?

Pa2ZnReN5

> What is the energy in the third record?

-23.6 eV per cell